Below is crystalline ScTa2NiH at its relaxed geometry, with properties calculated at the GGA-PBE level.

abc: 4.880 4.880 4.198
angles: 90.00 90.00 90.00
Space group P4/mmm (No. 123)
One atom of each set of equivalent atoms:
Sc (0.000, 0.000, 0.000) (multiplicity 1)
Ta (0.000, 0.500, 0.000) (multiplicity 2)
Ni (0.000, 0.000, 0.500) (multiplicity 1)
H (0.500, 0.500, 0.500) (multiplicity 1)

The value obtained for the total moment is 0.0 μB per formula unit. The calculated total energy comes out at -5.543 eV/atom. The calculation puts the volume at 19.99 Å³/atom.